(P)
VASP calculation (PBE) on a geometry-optimized SbTe2SeCl structure.

Unit cell a=5.4583 b=5.4583 c=5.5539 alpha=90.00 beta=90.00 gamma=90.00
With the nearest neighbours (Å) after each atom.
Fractional coordinates of all 5 atoms:
Sb  0.0000  0.0000  0.5000  2 Se 2.78
Te  0.0000  0.5000  0.0000  2 Se 2.73
Te  0.5000  0.0000  0.0000  2 Se 2.73
Se  0.0000  0.0000  0.0000  4 Te 2.73, 2 Sb 2.78
Cl  0.5000  0.5000  0.5000  4 Sb 3.86, 8 Te 3.89

Output
The density of states at the Fermi level is 5.178 states/eV per cell.

***

(Q)
VASP calculation (PBE) on a geometry-optimized SbTe2SeCl structure.

Unit cell a=5.3900 b=5.3900 c=5.3875 alpha=90.00 beta=90.00 gamma=90.00
With the nearest neighbours (Å) after each atom.
Fractional coordinates of all 5 atoms:
Sb  0.0000  0.0000  0.5000  2 Cl 2.69
Te  0.0000  0.5000  0.0000  2 Cl 2.70
Te  0.5000  0.0000  0.0000  2 Cl 2.70
Se  0.5000  0.5000  0.5000  8 Te 3.81, 4 Sb 3.81
Cl  0.0000  0.0000  0.0000  2 Sb 2.69, 4 Te 2.70

Output
The density of states at the Fermi level is 7.899 states/eV per cell.

***

Relative energies in meV per atom: (P) 0; (Q) 433

***

(P)
VASP calculation (PBE) on a geometry-optimized SiSbCl2 structure.

Unit cell a=5.5871 b=5.5871 c=7.0644 alpha=87.51 beta=87.51 gamma=33.60
With the nearest neighbours (Å) after each atom.
Fractional coordinates of all 4 atoms:
Cl  0.9985  0.9985  0.0720  2 Sb 2.67
Cl  0.7503  0.7503  0.6573  2 Si 2.44
Sb  0.5153  0.5153  0.3709  2 Cl 2.67, 3 Si 2.87-2.99
Si  0.2359  0.2359  0.3998  2 Cl 2.44

Output
The density of states at the Fermi level is 0.947 states/eV per cell.

***

(Q)
VASP calculation (PBE) on a geometry-optimized SiSbCl2 structure.

Unit cell a=7.4706 b=7.4706 c=7.5730 alpha=60.45 beta=60.45 gamma=90.00
With the nearest neighbours (Å) after each atom.
Fractional coordinates of all 8 atoms:
Sb  0.0000  0.0000  0.0000  4 Cl 4.00
Sb  0.7500  0.2500  0.5000  4 Cl 4.00
Si  0.5000  0.5000  0.0000  4 Cl 2.35
Si  0.2500  0.7500  0.5000  4 Cl 2.35
Cl  0.4372  0.1250  0.2500  2 Si 2.35
Cl  0.3127  0.6250  0.2500  2 Si 2.35
Cl  0.3750  0.5628  0.7500  2 Si 2.35
Cl  0.8750  0.6872  0.7500  2 Si 2.35

Output
The density of states at the Fermi level is 5.019 states/eV per cell.

***

(R)
VASP calculation (PBE) on a geometry-optimized SiSbCl2 structure.

Unit cell a=5.0029 b=5.0029 c=5.0029 alpha=60.00 beta=60.00 gamma=60.00
With the nearest neighbours (Å) after each atom.
Fractional coordinates of all 4 atoms:
Sb  0.5000  0.5000  0.5000  8 Cl 3.06
Si  0.0000  0.0000  0.0000  8 Cl 3.06
Cl  0.2500  0.2500  0.2500  4 Sb 3.06, 4 Si 3.06
Cl  0.7500  0.7500  0.7500  4 Sb 3.06, 4 Si 3.06

Output
The density of states at the Fermi level is 2.729 states/eV per cell.

***

(S)
VASP calculation (PBE) on a geometry-optimized SiSbCl2 structure.

Unit cell a=3.1138 b=4.5540 c=6.1891 alpha=90.00 beta=90.00 gamma=90.00
With the nearest neighbours (Å) after each atom.
Fractional coordinates of all 4 atoms:
Cl  0.0000  0.0000  0.9980  4 Cl 3.07-3.12, 4 Si 3.16, 4 Sb 3.17
Cl  0.0000  0.0000  0.5020  4 Cl 3.07-3.12, 4 Si 3.16, 4 Sb 3.17
Sb  0.5000  0.5000  0.2500  2 Si 3.09, 2 Sb 3.11, 8 Cl 3.17
Si  0.5000  0.5000  0.7500  2 Sb 3.09, 2 Si 3.11, 8 Cl 3.16

Output
The density of states at the Fermi level is 1.904 states/eV per cell.

***

Relative energies in meV per atom: (P) 0; (Q) 602; (R) 574; (S) 432

***

(P)
VASP calculation (PBE) on a geometry-optimized SiSbCl2 structure.

Unit cell a=7.6344 b=7.6344 c=7.6344 alpha=155.01 beta=144.73 gamma=43.71
With the nearest neighbours (Å) after each atom.
Fractional coordinates of all 4 atoms:
Cl  0.9993  0.9993  0.0000  4 Sb 2.92
Cl  0.7665  0.2665  0.5000  4 Si 2.85
Sb  0.4511  0.4511  0.0000  2 Si 2.90, 4 Cl 2.92
Si  0.2831  0.7831  0.5000  4 Cl 2.85, 2 Sb 2.90

Output
The density of states at the Fermi level is 1.013 states/eV per cell.

***

(Q)
VASP calculation (PBE) on a geometry-optimized SiSbCl2 structure.

Unit cell a=4.9062 b=4.9062 c=4.9062 alpha=120.19 beta=120.19 gamma=89.67
With the nearest neighbours (Å) after each atom.
Fractional coordinates of all 4 atoms:
Cl  0.0000  0.0000  0.0000  4 Cl 3.00, 4 Si 3.00
Cl  0.2500  0.7500  0.5000  4 Cl 3.00, 4 Sb 3.00
Sb  0.5000  0.5000  0.0000  4 Cl 3.00, 4 Si 3.00
Si  0.7500  0.2500  0.5000  4 Cl 3.00, 4 Sb 3.00

Output
The density of states at the Fermi level is 4.095 states/eV per cell.

***

(R)
VASP calculation (PBE) on a geometry-optimized SiSbCl2 structure.

Unit cell a=3.1883 b=3.1883 c=12.0277 alpha=90.00 beta=90.00 gamma=90.00
With the nearest neighbours (Å) after each atom.
Fractional coordinates of all 4 atoms:
Cl  0.0000  0.0000  0.8820  4 Si 2.76
Cl  0.0000  0.0000  0.6180  4 Si 2.76
Sb  0.5000  0.5000  0.2500  4 Sb 3.19
Si  0.5000  0.5000  0.7500  8 Cl 2.76

Output
The density of states at the Fermi level is 1.142 states/eV per cell.

***

(S)
VASP calculation (PBE) on a geometry-optimized SiSbCl2 structure.

Unit cell a=7.5341 b=7.5341 c=4.7894 alpha=84.65 beta=84.65 gamma=26.67
With the nearest neighbours (Å) after each atom.
Fractional coordinates of all 4 atoms:
Cl  0.8949  0.8949  0.0419  1 Sb 2.65, 2 Si 2.85
Cl  0.6051  0.6051  0.4581  1 Sb 2.65, 2 Si 2.85
Sb  0.7500  0.7500  0.7500  2 Cl 2.65, 4 Si 2.96
Si  0.2500  0.2500  0.2500  4 Cl 2.85, 4 Sb 2.96

Output
The density of states at the Fermi level is 0.870 states/eV per cell.

***

Relative energies in meV per atom: (P) 92; (Q) 278; (R) 147; (S) 0